First-principles (PBEsol) data for an optimized crystal structure of NaSrBO3, as listed in Alexandria via LeMat-Bulk.

Geometry as POSCAR:
```
NaSrBO3
1.0
5.315 0.000 0.000
0.000 9.216 0.000
-1.131 0.000 5.927
Na Sr B O
4 4 4 12
direct
0.243 0.240 0.464
0.243 0.260 0.964
0.757 0.740 0.036
0.757 0.760 0.536
0.254 0.586 0.285
0.254 0.914 0.785
0.746 0.086 0.215
0.746 0.414 0.715
0.253 0.581 0.762
0.253 0.919 0.262
0.747 0.081 0.738
0.747 0.419 0.238
0.073 0.645 0.869
0.073 0.855 0.369
0.225 0.061 0.185
0.225 0.439 0.685
0.461 0.658 0.717
0.461 0.842 0.217
0.539 0.158 0.783
0.539 0.342 0.283
0.775 0.561 0.315
0.775 0.939 0.815
0.927 0.145 0.631
0.927 0.355 0.131
```

Output
Volume ... 12.096 A^3/atom
ΔE_f (raw) ... -2.5576 eV per atom

=====

First-principles (PBEsol) data for an optimized crystal structure of Pd3Pb, as listed in Alexandria via LeMat-Bulk.

Geometry as POSCAR:
```
Pd3Pb
1.0
4.032 0.000 0.000
0.000 4.032 0.000
0.000 0.000 4.032
Pd Pb
3 1
direct
0.000 0.000 0.500
0.000 0.500 0.000
0.500 0.000 0.000
0.500 0.500 0.500
```

Output
Energy relative to the elements ... -1.21 eV/f.u.
Volume ... 16.386 A^3/atom

=====

First-principles (PBEsol) data for an optimized crystal structure of Cr2ReNi, as listed in Alexandria via LeMat-Bulk.

Geometry as POSCAR:
```
Cr2ReNi
1.0
0.000 2.891 2.891
2.891 0.000 2.891
2.891 2.891 0.000
Cr Re Ni
2 1 1
direct
0.000 0.000 0.000
0.250 0.250 0.250
0.750 0.750 0.750
0.500 0.500 0.500
```

Output
Energy relative to the elements ... 0.83 eV/f.u.
Volume ... 12.085 A^3/atom

=====

First-principles (PBEsol) data for an optimized crystal structure of SiPBrO2, as listed in Alexandria via LeMat-Bulk.

Geometry as POSCAR:
```
SiPBrO2
1.0
3.476 0.000 0.000
0.000 3.476 0.000
0.000 0.000 5.230
Si P Br O
1 1 1 2
direct
0.000 0.000 0.000
0.000 0.000 0.500
0.500 0.500 0.500
0.000 0.500 0.000
0.500 0.000 0.000
```

Output
Volume ... 12.637 A^3/atom
ΔE_f (raw) ... -0.8435 eV per atom
ΔE to the lowest computed polymorph ... 0 meV per atom

=====

First-principles (PBEsol) data for an optimized crystal structure of LiZnCu2, as listed in Alexandria via LeMat-Bulk.

Geometry as POSCAR:
```
LiZnCu2
1.0
-1.826 1.826 3.587
1.826 -1.826 3.587
1.826 1.826 -3.587
Li Zn Cu
1 1 2
direct
0.000 0.000 0.000
0.750 0.250 0.500
0.250 0.750 0.500
0.500 0.500 0.000
```

Output
Energy relative to the elements ... -0.41 eV/f.u.
Volume ... 11.965 A^3/atom

=====

First-principles (PBEsol) data for an optimized crystal structure of CuMoAu, as listed in Alexandria via LeMat-Bulk.

Geometry as POSCAR:
```
CuMoAu
1.0
0.000 2.973 2.973
2.973 0.000 2.973
2.973 2.973 0.000
Cu Mo Au
1 1 1
direct
0.000 0.000 0.000
0.750 0.750 0.750
0.500 0.500 0.500
```

Output
Energy relative to the elements ... 2.71 eV/f.u.
Volume ... 17.517 A^3/atom

=====

First-principles (PBEsol) data for an optimized crystal structure of BeAlIn2, as listed in Alexandria via LeMat-Bulk.

Geometry as POSCAR:
```
BeAlIn2
1.0
4.312 0.000 0.000
0.000 4.312 0.000
0.000 0.000 4.049
Be Al In
1 1 2
direct
0.000 0.000 0.000
0.500 0.500 0.000
0.000 0.500 0.500
0.500 0.000 0.500
```

Output
Energy relative to the elements ... 1.64 eV/f.u.
Volume ... 18.822 A^3/atom
ΔE to the lowest computed polymorph ... 104 meV per atom

=====

First-principles (PBEsol) data for an optimized crystal structure of Li2CuPO4, as listed in Alexandria via LeMat-Bulk.

Geometry as POSCAR:
```
Li2CuPO4
1.0
10.455 0.000 0.000
0.000 6.149 0.000
0.000 0.000 5.095
Li Cu P O
8 4 4 16
direct
0.161 0.003 0.190
0.161 0.497 0.190
0.339 0.503 0.690
0.339 0.997 0.690
0.661 0.003 0.310
0.661 0.497 0.310
0.839 0.503 0.810
0.839 0.997 0.810
0.106 0.750 0.754
0.394 0.250 0.254
0.606 0.750 0.746
0.894 0.250 0.246
0.087 0.250 0.684
0.413 0.750 0.184
0.587 0.250 0.816
0.913 0.750 0.316
0.053 0.750 0.227
0.096 0.250 0.381
0.160 0.048 0.797
0.160 0.452 0.797
0.340 0.548 0.297
0.340 0.952 0.297
0.404 0.750 0.881
0.447 0.250 0.727
0.553 0.750 0.273
0.596 0.250 0.119
0.660 0.048 0.703
0.660 0.452 0.703
0.840 0.548 0.203
0.840 0.952 0.203
0.904 0.750 0.619
0.947 0.250 0.773
```

Output
Volume ... 10.237 A^3/atom
ΔE_f (raw) ... -1.9625 eV per atom
ΔE to the lowest computed polymorph ... 8 meV per atom

=====

First-principles (PBEsol) data for an optimized crystal structure of CaSnTeN2, as listed in Alexandria via LeMat-Bulk.

Geometry as POSCAR:
```
CaSnTeN2
1.0
4.540 0.000 0.000
0.000 4.540 0.000
0.000 0.000 6.031
Ca Sn Te N
1 1 1 2
direct
0.000 0.000 0.000
0.500 0.500 0.500
0.000 0.000 0.500
0.000 0.500 0.000
0.500 0.000 0.000
```

Output
Volume ... 24.859 A^3/atom
ΔE_f (raw) ... 1.0790 eV per atom

=====

First-principles (PBEsol) data for an optimized crystal structure of MnAl, as listed in Alexandria via LeMat-Bulk.

Geometry as POSCAR:
```
MnAl
1.0
4.539 -1.427 0.000
4.539 1.427 0.000
-1.910 0.000 5.597
Mn Al
3 3
direct
0.000 0.000 0.000
0.019 0.019 0.483
0.658 0.658 0.308
0.344 0.344 0.177
0.344 0.344 0.642
0.658 0.658 0.822
```

Output
Energy relative to the elements ... -0.29 eV/f.u.
Volume ... 12.082 A^3/atom

=====

First-principles (PBEsol) data for an optimized crystal structure of NaAgCl2, as listed in Alexandria via LeMat-Bulk.

Geometry as POSCAR:
```
NaAgCl2
1.0
2.046 1.181 7.665
-2.046 1.181 7.665
0.000 -2.362 7.665
Na Ag Cl
1 1 2
direct
0.000 0.000 0.000
0.500 0.500 0.500
0.107 0.107 0.107
0.893 0.893 0.893
```

Output
Volume ... 27.778 A^3/atom
ΔE_f (raw) ... -0.7914 eV per atom
ΔE to the lowest computed polymorph ... 241 meV per atom

=====

First-principles (PBEsol) data for an optimized crystal structure of BeTcOs, as listed in Alexandria via LeMat-Bulk.

Geometry as POSCAR:
```
BeTcOs
1.0
-1.408 1.408 4.502
1.408 -1.408 4.502
1.408 1.408 -4.502
Be Tc Os
1 1 1
direct
0.000 0.000 0.000
0.336 0.336 0.000
0.652 0.652 0.000
```

Output
Energy relative to the elements ... -0.61 eV/f.u.
Volume ... 11.893 A^3/atom